## V2PPdS (PBE)

Data for a relaxed V2PPdS crystal.

a b c (Å): 4.985 4.985 4.240
angles (deg): 90.00 90.00 90.00
Space group P4/mmm (No. 123)
Symmetry-distinct sites (fractional):
V: 0.000 0.500 0.000 [2 per cell]
P: 0.000 0.000 0.500 [1 per cell]
Pd: 0.500 0.500 0.000 [1 per cell]
S: 0.500 0.500 0.500 [1 per cell]

Magnetic moment: 5.17 μB per cell
Formation energy from raw total energies: 5.17 eV per formula unit

---

## Ca5TlAg2 (PBE)

Data for a relaxed Ca5TlAg2 crystal.

a b c (Å): 8.132 8.132 14.800
angles (deg): 90.00 90.00 90.00
Space group I4/mcm (No. 140)
Symmetry-distinct sites (fractional):
Ca: 0.000 0.000 0.000 [4 per cell]
Ca: 0.168 0.332 0.144 [16 per cell]
Tl: 0.000 0.000 0.250 [4 per cell]
Ag: 0.125 0.375 0.500 [8 per cell]

Magnetic moment: 0.00 μB per cell
Formation energy from the elements: -0.332 eV/atom

---

## LiTb2Sn2 (PBE)

Data for a relaxed LiTb2Sn2 crystal.

a b c (Å): 6.516 12.888 6.334
angles (deg): 90.00 90.00 90.00
Space group Ibam (No. 72)
Symmetry-distinct sites (fractional):
Li: 0.000 0.000 0.250 [4 per cell]
Tb: 0.216 0.361 0.000 [8 per cell]
Sn: 0.237 0.118 0.000 [8 per cell]

Magnetic moment: 0.00 μB per cell
Formation energy from the elements: -0.533 eV/atom

---

## KPb (PBE)

Data for a relaxed KPb crystal.

a b c (Å): 7.126 7.126 7.126
angles (deg): 90.00 90.00 90.00
Space group Fm-3m (No. 225)
Symmetry-distinct sites (fractional):
K: 0.000 0.000 0.000 [4 per cell]
Pb: 0.000 0.000 0.500 [4 per cell]

Magnetic moment: 0.00 μB per cell
Formation energy from the elements: 0.389 eV/atom
Energy above the lowest structure with this stoichiometry: 0.630 eV per atom

---

## PuCoGeRu (PBE)

Data for a relaxed PuCoGeRu crystal.

a b c (Å): 6.348 6.348 6.348
angles (deg): 90.00 90.00 90.00
Space group F-43m (No. 216)
Symmetry-distinct sites (fractional):
Pu: 0.000 0.000 0.000 [4 per cell]
Co: 0.250 0.250 0.250 [4 per cell]
Ge: 0.000 0.000 0.500 [4 per cell]
Ru: 0.250 0.250 0.750 [4 per cell]

Magnetic moment: 14.06 μB per cell
Formation energy from the elements: -0.165 eV/atom

---

## La3SmTh2N6 (PBE)

Data for a relaxed La3SmTh2N6 crystal.

a b c (Å): 6.384 11.054 6.411
angles (deg): 90.00 109.35 90.00
Space group C2/m (No. 12)
Symmetry-distinct sites (fractional):
La: 0.000 0.000 0.000 [2 per cell]
La: 0.000 0.335 0.000 [4 per cell]
Sm: 0.000 0.500 0.500 [2 per cell]
Th: 0.000 0.167 0.500 [4 per cell]
N: 0.238 0.000 0.732 [4 per cell]
N: 0.247 0.330 0.732 [8 per cell]

Magnetic moment: 0.00 μB per cell
Formation energy from raw total energies: -17.89 eV per formula unit